(1)
# Zr2CdGe

An optimized crystal structure of Zr2CdGe (GGA-PBE, OQMD).

The value obtained for the calculated volume is 21.0 Å³ per atom. The value obtained for the density is 7.3 g/cm3. The calculated total energy comes out at -86.48 eV per cell.

The space group is F-43m (No. 216) and the conventional cell measures 6.949, 6.949 and 6.949 Å, with angles of 90.00, 90.00 and 90.00 degrees. The asymmetric unit holds Zr at (0.000, 0.000, 0.000), Zr at (0.250, 0.250, 0.250), Cd at (0.000, 0.000, 0.500) and Ge at (0.250, 0.250, 0.750).



(2)
# CdH6

An optimized crystal structure of CdH6 (GGA-PBE, OQMD).

The value obtained for the calculated volume is 9.9 Å³ per atom. The value obtained for the density is 2.8 g/cm3. The calculated total energy comes out at -19.66 eV per cell.

The space group is P-1 (No. 2) and the conventional cell measures 3.073, 5.183 and 5.209 Å, with angles of 117.69, 103.31 and 96.33 degrees. The asymmetric unit holds Cd at (0.000, 0.000, 0.000), H at (0.018, 0.701, 0.329), H at (0.192, 0.354, 0.810) and H at (0.485, 0.231, 0.310).



(3)
# Cd2H

An optimized crystal structure of Cd2H (GGA-PBE, OQMD).

The value obtained for the calculated volume is 31.4 Å³ per atom. The value obtained for the density is 4.0 g/cm3. Its distance to the lowest polymorph of the same formula is 0.0000 eV per atom.

The space group is Fd-3m (No. 227, origin choice 2) and the conventional cell measures 9.105, 9.105 and 9.105 Å, with angles of 90.00, 90.00 and 90.00 degrees. The asymmetric unit holds Cd at (0.000, 0.000, 0.000) and H at (0.125, 0.125, 0.125).



(4)
# RbCdInH2

An optimized crystal structure of RbCdInH2 (GGA-PBE, OQMD).

The value obtained for the calculated volume is 21.7 Å³ per atom. The value obtained for the density is 4.8 g/cm3. The calculated total energy comes out at -23.33 eV per cell.

The space group is C2 (No. 5) and the conventional cell measures 5.421, 14.508 and 3.834 Å, with angles of 90.00, 134.07 and 90.00 degrees. The asymmetric unit holds Rb at (0.000, 0.000, 0.000), Cd at (0.000, 0.707, 0.000), In at (0.000, 0.284, 0.000), H at (0.000, 0.411, 0.000) and H at (0.000, 0.581, 0.000).